Here is a relaxed structure of Er2P7Ru12 from Alexandria. Energies are from PBE.

extended XYZ file:
```
21
Lattice="-1.3229 2.0495 3.0984 -7.2452 -5.9355 0.8328 8.0362 -1.7203 4.5691" Properties=species:S:1:pos:R:3 pbc="T T T"
Ru 1.4652 -3.4864 5.4412
Ru 3.8876 -1.7976 5.3584
Ru 0.8390 -3.4900 2.6667
Ru 3.9466 -4.5651 4.7047
Ru -2.1633 -5.3128 5.1001
Ru -5.0301 -3.4719 2.6584
Ru -1.7260 -1.6263 0.3388
Ru 4.0417 -1.3209 2.5994
Ru 0.3949 -5.7666 3.9831
Ru -5.1231 -6.1983 1.9127
Ru 1.4901 -1.0178 3.8189
Ru -1.2450 -1.7323 3.1237
P 0.3636 -1.7098 1.2862
P -3.3903 -1.7653 2.2296
P -0.7107 -3.5768 4.5720
P 2.9424 -3.1253 3.3236
P 2.3515 -6.1798 5.0918
P -4.3375 -5.1750 4.0806
P 6.1121 -1.4865 3.5929
Er -2.1514 -4.5304 2.0782
Er -0.6614 1.0247 1.5492
```

Calculated values
Space group: P-6, No. 174
Magnetic moment in Bohr magnetons per cell: 0.00
DFT formation energy in eV per formula unit: -15.91


Here is a relaxed structure of LaTb2Tm2 from Alexandria. Energies are from PBE.

extended XYZ file:
```
5
Lattice="3.5655 0.0000 0.0000 0.0000 3.5655 0.0000 -1.7828 -1.7828 12.6580" Properties=species:S:1:pos:R:3 pbc="T T T"
Tb 0.0000 0.0000 10.0092
Tb 1.7828 1.7828 2.6488
Tm 1.7828 1.7828 7.5453
Tm 0.0000 0.0000 5.1127
La 0.0000 0.0000 0.0000
```

Calculated values
Space group: I4/mmm, No. 139
Magnetic moment in Bohr magnetons per cell: 0.00
DFT formation energy in eV per formula unit: 0.16


Here is a relaxed structure of TlSiTe from Alexandria. Energies are from PBE.

extended XYZ file:
```
3
Lattice="4.9856 0.0000 0.0000 2.4928 4.3177 0.0000 2.4928 1.4392 4.0707" Properties=species:S:1:pos:R:3 pbc="T T T"
Te 0.0000 0.0000 0.0000
Tl 4.9856 2.8784 2.0354
Si 2.4928 1.4392 1.0177
```

Calculated values
Space group: F-43m, No. 216
Uncorrected formation energy in eV/atom: 0.40
Magnetic moment in Bohr magnetons per cell: 0.00